Compound: Y2Ni2Au
Source: Alexandria
Functional: PBE
Structure: optimized geometry

Lattice parameters (Å, degrees): 3.589 3.589 8.262 77.46 77.46 90.00
Positions (direct):
Y  0.615  0.615  0.769
Au  0.000  0.000  0.000
Ni  0.250  0.750  0.500
Y  0.385  0.385  0.231
Ni  0.750  0.250  0.500

Results
**SG**: I4/mmm (139)
**ΔE_f**: -0.395 eV/atom
**E above lowest polymorph**: 0.208 eV per atom
**Fermi-level density of states**: 1.7 states/eV/cell



Compound: Y6Ni2Au
Source: Alexandria
Functional: PBE
Structure: optimized geometry

Lattice parameters (Å, degrees): 8.339 8.339 8.339 107.24 109.69 111.51
Positions (direct):
Y  0.101  0.280  0.820
Ni  0.500  0.619  0.119
Y  0.460  0.280  0.180
Au  0.000  0.000  0.000
Y  0.191  0.759  0.950
Y  0.308  0.980  0.672
Y  0.191  0.241  0.432
Ni  0.348  0.000  0.348
Y  0.692  0.365  0.672
Y  0.692  0.020  0.328
Y  0.308  0.635  0.328
Y  0.809  0.759  0.568
Ni  0.652  0.000  0.652
Y  0.540  0.720  0.820
Ni  0.500  0.381  0.881
Y  0.899  0.720  0.180
Au  0.000  0.500  0.500
Y  0.809  0.241  0.050

Results
**SG**: Immm (71)
**ΔE_f**: -0.402 eV/atom
**Fermi-level density of states**: 19.5 states/eV/cell



Compound: YNi4Au
Source: Alexandria
Functional: PBE
Structure: optimized geometry

Lattice parameters (Å, degrees): 4.945 4.945 4.945 60.00 60.00 60.00
Last column: magnetic moment on the atom in μB.
Positions (direct):
Au  0.750  0.750  0.750  0.00
Ni  0.873  0.376  0.376  0.14
Ni  0.376  0.376  0.873  0.14
Ni  0.376  0.376  0.376  0.14
Ni  0.376  0.873  0.376  0.14
Y  0.000  0.000  0.000  -0.02

Results
**SG**: F-43m (216)
**ΔE_f**: -0.370 eV/atom
**Fermi-level density of states**: 6.8 states/eV/cell



Compound: Y2Ni2Au
Source: Alexandria
Functional: PBE
Structure: optimized geometry

Lattice parameters (Å, degrees): 3.636 3.901 7.139 105.86 90.00 90.00
Positions (direct):
Ni  0.000  0.199  0.398
Au  0.000  0.000  0.000
Ni  0.000  0.801  0.602
Y  0.500  0.370  0.739
Y  0.500  0.630  0.261

Results
**SG**: Cmmm (65)
**ΔE_f**: -0.603 eV/atom
**E above lowest polymorph**: 0.000 eV per atom
**Fermi-level density of states**: 4.0 states/eV/cell



Compound: YNiAu3
Source: Alexandria
Functional: PBE
Structure: optimized geometry

Lattice parameters (Å, degrees): 4.787 4.787 4.787 90.00 90.00 90.00
Positions (direct):
Au  0.000  0.500  0.000
Au  0.500  0.000  0.000
Y  0.500  0.500  0.500
Au  0.000  0.000  0.500
Ni  0.000  0.000  0.000

Results
**SG**: Pm-3m (221)
**ΔE_f**: -0.066 eV/atom
**E above lowest polymorph**: 0.000 eV per atom
**Fermi-level density of states**: 3.7 states/eV/cell



Compound: YNi9Au2
Source: Alexandria
Functional: PBE
Structure: optimized geometry

Lattice parameters (Å, degrees): 4.839 8.153 8.153 90.00 90.00 90.00
Last column: magnetic moment on the atom in μB.
Positions (direct):
Ni  0.753  0.323  0.177  0.52
Ni  0.500  0.935  0.792  0.51
Au  0.000  0.623  0.123  0.00
Ni  0.753  0.177  0.677  0.52
Ni  0.247  0.177  0.677  0.52
Y  0.000  0.000  0.000  -0.07
Ni  0.753  0.823  0.323  0.52
Ni  0.500  0.208  0.935  0.51
Au  0.000  0.123  0.377  0.00
Ni  0.247  0.323  0.177  0.52
Ni  0.247  0.677  0.823  0.52
Ni  0.500  0.708  0.565  0.51
Au  0.000  0.877  0.623  0.00
Ni  0.753  0.677  0.823  0.52
Ni  0.500  0.435  0.708  0.51
Ni  0.500  0.065  0.208  0.51
Ni  0.500  0.792  0.065  0.51
Ni  0.500  0.000  0.500  0.45
Ni  0.500  0.500  0.000  0.45
Ni  0.247  0.823  0.323  0.52
Y  0.000  0.500  0.500  -0.07
Au  0.000  0.377  0.877  0.00
Ni  0.500  0.565  0.292  0.51
Ni  0.500  0.292  0.435  0.51

Results
**SG**: P4/mbm (127)
**ΔE_f**: -0.169 eV/atom
**Fermi-level density of states**: 29.0 states/eV/cell



Compound: YZrNi2Au
Source: Alexandria
Functional: PBE
Structure: optimized geometry

Lattice parameters (Å, degrees): 4.632 5.192 4.632 90.00 90.00 90.00
Positions (direct):
Zr  0.500  0.500  0.500
Ni  0.000  0.000  0.500
Y  0.000  0.000  0.000
Ni  0.500  0.000  0.000
Au  0.000  0.500  0.000

Results
**SG**: P4/mmm (123)
**ΔE_f**: 0.822 eV/atom
**Fermi-level density of states**: 6.8 states/eV/cell



Compound: Zn2NiAu
Source: Alexandria
Functional: PBE
Structure: optimized geometry

Lattice parameters (Å, degrees): 8.997 8.997 8.997 17.85 17.85 17.85
Positions (direct):
Zn  0.008  0.008  0.008
Au  0.496  0.496  0.496
Zn  0.251  0.251  0.251
Ni  0.746  0.746  0.746

Results
**SG**: R3m (160)
**ΔE_f**: 0.013 eV/atom
**Fermi-level density of states**: 2.9 states/eV/cell



Compound: ZnNiAu
Source: Alexandria
Functional: PBE
Structure: optimized geometry

Lattice parameters (Å, degrees): 5.508 3.820 8.526 90.00 106.27 90.00
Positions (direct):
Zn  0.262  0.000  0.191
Au  0.420  0.500  0.021
Zn  0.937  0.000  0.524
Ni  0.106  0.000  0.844
Ni  0.802  0.000  0.189
Ni  0.106  0.500  0.344
Au  0.633  0.000  0.856
Au  0.420  0.000  0.521
Ni  0.802  0.500  0.689
Zn  0.262  0.500  0.691
Zn  0.937  0.500  0.024
Au  0.633  0.500  0.356

Results
**SG**: Cm (8)
**ΔE_f**: -0.131 eV/atom
**E above lowest polymorph**: 0.017 eV per atom
**Fermi-level density of states**: 4.1 states/eV/cell



Compound: ZnNiAu
Source: Alexandria
Functional: PBE
Structure: optimized geometry

Lattice parameters (Å, degrees): 4.351 2.744 8.959 72.13 84.53 89.99
Positions (direct):
Au  0.510  0.768  0.788
Ni  0.506  0.006  0.051
Zn  0.004  0.540  0.018
Ni  0.632  0.275  0.280
Au  0.122  0.733  0.322
Zn  0.588  0.529  0.526

Results
**SG**: P1 (1)
**ΔE_f**: -0.046 eV/atom
**E above lowest polymorph**: 0.102 eV per atom
**Fermi-level density of states**: 3.7 states/eV/cell



Compound: Zn4Ni3Au
Source: Alexandria
Functional: PBE
Structure: optimized geometry

Lattice parameters (Å, degrees): 4.436 5.490 8.661 90.00 90.00 90.00
Positions (direct):
Ni  0.000  0.000  0.000
Zn  0.887  0.236  0.250
Zn  0.113  0.764  0.750
Zn  0.113  0.236  0.750
Au  0.000  0.500  0.000
Zn  0.500  0.235  0.500
Ni  0.608  0.500  0.750
Zn  0.500  0.765  0.000
Ni  0.380  0.000  0.250
Zn  0.500  0.235  0.000
Zn  0.887  0.764  0.250
Ni  0.392  0.500  0.250
Au  0.000  0.500  0.500
Ni  0.000  0.000  0.500
Zn  0.500  0.765  0.500
Ni  0.620  0.000  0.750

Results
**SG**: Pmma (51)
**ΔE_f**: -0.201 eV/atom
**Fermi-level density of states**: 5.8 states/eV/cell



Compound: ZnNi2Au
Source: Alexandria
Functional: PBE
Structure: optimized geometry

Lattice parameters (Å, degrees): 2.779 4.538 5.347 53.08 90.00 90.00
Positions (direct):
Zn  0.500  0.500  0.500
Au  0.000  0.000  0.500
Ni  0.500  0.500  0.000
Ni  0.000  0.000  0.000

Results
**SG**: P2/m (10)
**ΔE_f**: -0.023 eV/atom
**Fermi-level density of states**: 3.9 states/eV/cell